# 1
DFT (PBE) results for crystalline CsNaRu2 at its relaxed geometry.

Cell: 7.016 7.016 7.016 Å, 90.00 90.00 90.00°
Space group Fm-3m (No. 225)
Asymmetric unit:
Cs1 0.000 0.000 0.000 x4
Na1 0.000 0.000 0.500 x4
Ru1 0.250 0.250 0.250 x8

Calculated values
**Density**: 6.9 g cm⁻³
**Energy**: -3.37 eV per atom
**Crystal system**: cubic
**Energy of formation**: 1815 meV/atom

=====

# 2
DFT (PBE) results for crystalline CsNa2SrRu at its relaxed geometry.

Cell: 6.776 6.776 5.107 Å, 90.00 90.00 90.00°
Space group P4/mmm (No. 123)
Asymmetric unit:
Cs1 0.000 0.000 0.000 x1
Na1 0.000 0.500 0.500 x2
Sr1 0.500 0.500 0.500 x1
Ru1 0.500 0.500 0.000 x1

Calculated values
**Density**: 2.6 g cm⁻³
**Energy**: -2.00 eV per atom
**Crystal system**: tetragonal
**Energy of formation**: 885 meV/atom

=====

# 3
DFT (PBE) results for crystalline Cs2NaS at its relaxed geometry.

Cell: 8.688 8.688 8.688 Å, 90.00 90.00 90.00°
Space group Fm-3m (No. 225)
Asymmetric unit:
Cs1 0.250 0.250 0.250 x8
Na1 0.000 0.000 0.000 x4
S1 0.000 0.000 0.500 x4

Calculated values
**Density**: 3.2 g cm⁻³
**Energy**: -2.20 eV per atom
**Polymorph energy (0 for the lowest one)**: 0.250 eV/atom
**Crystal system**: cubic
**Uncorrected formation energy**: -416 meV per atom

=====

# 4
DFT (PBE) results for crystalline CsNa3S at its relaxed geometry.

Cell: 6.481 6.481 6.481 Å, 90.00 90.00 90.00°
Space group Pm-3m (No. 221)
Asymmetric unit:
Cs1 0.000 0.000 0.000 x1
Na1 0.000 0.000 0.500 x3
S1 0.500 0.500 0.500 x1

Calculated values
**Density**: 1.4 g cm⁻³
**Energy**: -1.08 eV per atom
**Polymorph energy (0 for the lowest one)**: 1.104 eV/atom
**Crystal system**: cubic
**Uncorrected formation energy**: 704 meV per atom

=====

# 5
DFT (PBE) results for crystalline CsNaS at its relaxed geometry.

Cell: 4.838 4.838 7.972 Å, 90.00 90.00 90.00°
Space group P4/nmm (No. 129, origin choice 2)
Asymmetric unit:
Cs1 0.250 0.250 0.152 x2
Na1 0.250 0.750 0.500 x2
S1 0.250 0.250 0.693 x2

Calculated values
**Density**: 3.3 g cm⁻³
**Energy**: -3.17 eV per atom
**Crystal system**: tetragonal
**Uncorrected formation energy**: -1066 meV per atom

=====

# 6
DFT (PBE) results for crystalline CsNaS at its relaxed geometry.

Cell: 4.7355 4.7355 5.1499 Å, 90.00 90.00 120.00°
Space group P-6m2 (No. 187)
Asymmetric unit:
Cs1 0.0000 0.0000 0.0000 x1
Na1 0.3333 0.6667 0.5000 x1
S1 0.6667 0.3333 0.5000 x1

Calculated values
**Density**: 3.1 g cm⁻³
**Energy**: -3.09 eV per atom
**Crystal system**: hexagonal
**Uncorrected formation energy**: -987 meV per atom

=====

> Number 3 is which compound?

Cs2NaS